No. 1
Compound: Sm6Y8Tm
Source: the Alexandria database
Functional: PBE
Structure: optimized geometry

Unit cell a=9.9692 b=9.9692 c=5.8402 alpha=90.00 beta=90.00 gamma=120.00
With the nearest neighbours (Å) after each atom.
Atoms (fractional coordinates):
Sm1 0.0918 0.6234 0.2645  8 Y 3.36-3.76, 1 Sm 3.53
Sm2 0.3766 0.4684 0.2645  8 Y 3.36-3.76, 1 Sm 3.53
Sm3 0.4684 0.0918 0.7355  8 Y 3.36-3.76, 1 Sm 3.53
Sm4 0.5316 0.9082 0.2645  8 Y 3.36-3.76, 1 Sm 3.53
Sm5 0.6234 0.5316 0.7355  8 Y 3.36-3.76, 1 Sm 3.53
Sm6 0.9082 0.3766 0.7355  8 Y 3.36-3.76, 1 Sm 3.53
Y1 0.0507 0.7781 0.7762  1 Tm 2.98
Y2 0.2219 0.2726 0.7762  1 Tm 2.98
Y3 0.2726 0.0507 0.2238  1 Tm 2.98
Y4 0.3333 0.6667 0.7740  3 Y 3.51, 9 Sm 3.63-3.76
Y5 0.6667 0.3333 0.2260  3 Y 3.51, 9 Sm 3.63-3.76
Y6 0.7274 0.9493 0.7762  1 Tm 2.98
Y7 0.7781 0.7274 0.2238  1 Tm 2.98
Y8 0.9493 0.2219 0.2238  1 Tm 2.98
Tm1 0.0000 0.0000 0.5000  6 Y 2.98

Spin magnetization, μB per formula unit: 0.00
Energy, eV per atom: -5.465
Formation energy from the elements, meV/atom: 168

No. 2
Compound: Sm8Y2Tm
Source: the Alexandria database
Functional: PBE
Structure: optimized geometry

Unit cell a=10.2003 b=10.2003 c=5.6852 alpha=93.30 beta=93.30 gamma=40.27
With the nearest neighbours (Å) after each atom.
Atoms (fractional coordinates):
Sm1 0.0449 0.0449 0.2343  1 Sm 3.08, 1 Y 3.27
Sm2 0.1050 0.6349 0.2686  4 Sm 3.30-3.63, 2 Y 3.48-3.64, 1 Tm 3.53
Sm3 0.3141 0.3141 0.7716  4 Y 3.38-3.56, 4 Sm 3.50-3.63, 1 Tm 3.72
Sm4 0.3651 0.8950 0.7314  4 Sm 3.30-3.63, 2 Y 3.48-3.64, 1 Tm 3.53
Sm5 0.6349 0.1050 0.2686  4 Sm 3.30-3.63, 2 Y 3.48-3.64, 1 Tm 3.53
Sm6 0.6859 0.6859 0.2284  4 Y 3.38-3.56, 4 Sm 3.50-3.63, 1 Tm 3.72
Sm7 0.8950 0.3651 0.7314  4 Sm 3.30-3.63, 2 Y 3.48-3.64, 1 Tm 3.53
Sm8 0.9551 0.9551 0.7657  1 Sm 3.08, 1 Y 3.27
Y1 0.2160 0.2160 0.2563  9 Sm 3.27-3.64
Y2 0.7840 0.7840 0.7437  9 Sm 3.27-3.64
Tm1 0.5000 0.5000 0.0000  10 Sm 3.53-3.83

Spin magnetization, μB per formula unit: 0.00
Energy, eV per atom: -4.848
Formation energy from the elements, meV/atom: 166

No. 3
Compound: Sm2Y12Tm
Source: the Alexandria database
Functional: PBE
Structure: optimized geometry

Unit cell a=6.4508 b=6.4508 c=25.0985 alpha=90.00 beta=90.00 gamma=90.00
With the nearest neighbours (Å) after each atom.
Atoms (fractional coordinates):
Sm1 0.2500 0.7500 0.2273  8 Y 3.54-3.63
Sm2 0.2500 0.7500 0.7727  8 Y 3.54-3.63
Sm3 0.7500 0.2500 0.2273  8 Y 3.54-3.63
Sm4 0.7500 0.2500 0.7727  8 Y 3.54-3.63
Y1 0.0649 0.5649 0.3857  1 Tm 3.33, 7 Y 3.33-3.45
Y2 0.0649 0.9351 0.6143  1 Tm 3.33, 7 Y 3.33-3.45
Y3 0.0813 0.5813 0.0612  6 Y 3.08-3.41
Y4 0.0813 0.9187 0.9388  6 Y 3.08-3.41
Y5 0.2500 0.2500 0.1610  5 Y 3.12-3.47
Y6 0.2500 0.2500 0.2855  5 Y 3.12-3.45
Y7 0.2500 0.2500 0.7145  5 Y 3.12-3.45
Y8 0.2500 0.2500 0.8390  5 Y 3.12-3.47
Y9 0.4187 0.5813 0.9388  6 Y 3.08-3.41
Y10 0.4187 0.9187 0.0612  6 Y 3.08-3.41
Y11 0.4351 0.5649 0.6143  1 Tm 3.33, 7 Y 3.33-3.45
Y12 0.4351 0.9351 0.3857  1 Tm 3.33, 7 Y 3.33-3.45
Y13 0.5649 0.0649 0.6143  1 Tm 3.33, 7 Y 3.33-3.45
Y14 0.5649 0.4351 0.3857  1 Tm 3.33, 7 Y 3.33-3.45
Y15 0.5813 0.0813 0.9388  6 Y 3.08-3.41
Y16 0.5813 0.4187 0.0612  6 Y 3.08-3.41
Y17 0.7500 0.7500 0.1610  5 Y 3.12-3.47
Y18 0.7500 0.7500 0.2855  5 Y 3.12-3.45
Y19 0.7500 0.7500 0.7145  5 Y 3.12-3.45
Y20 0.7500 0.7500 0.8390  5 Y 3.12-3.47
Y21 0.9187 0.0813 0.0612  6 Y 3.08-3.41
Y22 0.9187 0.4187 0.9388  6 Y 3.08-3.41
Y23 0.9351 0.0649 0.3857  1 Tm 3.33, 7 Y 3.33-3.45
Y24 0.9351 0.4351 0.6143  1 Tm 3.33, 7 Y 3.33-3.45
Tm1 0.2500 0.7500 0.5000  4 Y 3.33
Tm2 0.7500 0.2500 0.5000  4 Y 3.33

Spin magnetization, μB per formula unit: 0.00
Energy, eV per atom: -5.752
Formation energy from the elements, meV/atom: 346

No. 4
Compound: SmY5Tm3
Source: the Alexandria database
Functional: PBE
Structure: optimized geometry

Unit cell a=8.7015 b=8.7015 c=11.7186 alpha=107.00 beta=107.00 gamma=45.13
With the nearest neighbours (Å) after each atom.
Atoms (fractional coordinates):
Sm1 0.1900 0.8100 0.7500  4 Y 3.28-3.58, 4 Tm 3.42-3.59
Sm2 0.8100 0.1900 0.2500  4 Y 3.28-3.58, 4 Tm 3.42-3.59
Y1 0.0210 0.4128 0.7648  2 Tm 3.37-3.60, 6 Y 3.39-3.61
Y2 0.2631 0.3696 0.5491  2 Tm 3.20-3.33, 4 Y 3.35-3.56, 1 Sm 3.58
Y3 0.3011 0.6989 0.2500  4 Tm 3.22-3.44, 2 Sm 3.28-3.40, 4 Y 3.51-3.56
Y4 0.3696 0.2631 0.0491  2 Tm 3.20-3.33, 4 Y 3.35-3.56, 1 Sm 3.58
Y5 0.4128 0.0210 0.2648  2 Tm 3.37-3.60, 6 Y 3.39-3.61
Y6 0.5872 0.9790 0.7352  2 Tm 3.37-3.60, 6 Y 3.39-3.61
Y7 0.6304 0.7369 0.9509  2 Tm 3.20-3.33, 4 Y 3.35-3.56, 1 Sm 3.58
Y8 0.6989 0.3011 0.7500  4 Tm 3.22-3.44, 2 Sm 3.28-3.40, 4 Y 3.51-3.56
Y9 0.7369 0.6304 0.4509  2 Tm 3.20-3.33, 4 Y 3.35-3.56, 1 Sm 3.58
Y10 0.9790 0.5872 0.2352  2 Tm 3.37-3.60, 6 Y 3.39-3.61
Tm1 0.0545 0.1596 0.0121  6 Y 3.33-3.71, 1 Sm 3.42, 2 Tm 3.43
Tm2 0.1596 0.0545 0.5121  6 Y 3.33-3.71, 1 Sm 3.42, 2 Tm 3.43
Tm3 0.5000 0.5000 0.0000  4 Y 3.20-3.22, 2 Tm 3.43
Tm4 0.5000 0.5000 0.5000  4 Y 3.20-3.22, 2 Tm 3.43
Tm5 0.8404 0.9455 0.4879  6 Y 3.33-3.71, 1 Sm 3.42, 2 Tm 3.43
Tm6 0.9455 0.8404 0.9879  6 Y 3.33-3.71, 1 Sm 3.42, 2 Tm 3.43

Spin magnetization, μB per formula unit: 0.00
Energy, eV per atom: -5.392
Formation energy from the elements, meV/atom: 214

No. 5
Compound: Sm2Y8Tm
Source: the Alexandria database
Functional: PBE
Structure: optimized geometry

Unit cell a=9.2088 b=9.2088 c=5.8939 alpha=105.13 beta=105.13 gamma=121.17
With the nearest neighbours (Å) after each atom.
Atoms (fractional coordinates):
Sm1 0.1935 0.8065 0.0000  8 Y 3.35-3.48
Sm2 0.8065 0.1935 0.0000  8 Y 3.35-3.48
Y1 0.0778 0.0778 0.2968  3 Y 3.00-3.26, 1 Tm 3.34
Y2 0.1716 0.4020 0.8325  4 Y 3.26-3.64, 2 Sm 3.47-3.48
Y3 0.2925 0.7075 0.5000  1 Tm 3.33, 2 Sm 3.35, 6 Y 3.64-3.71
Y4 0.4020 0.1716 0.8325  4 Y 3.26-3.64, 2 Sm 3.47-3.48
Y5 0.5980 0.8284 0.1675  4 Y 3.26-3.64, 2 Sm 3.47-3.48
Y6 0.7075 0.2925 0.5000  1 Tm 3.33, 2 Sm 3.35, 6 Y 3.64-3.71
Y7 0.8284 0.5980 0.1675  4 Y 3.26-3.64, 2 Sm 3.47-3.48
Y8 0.9222 0.9222 0.7032  3 Y 3.00-3.26, 1 Tm 3.34
Tm1 0.5000 0.5000 0.5000  4 Y 3.33-3.34

Spin magnetization, μB per formula unit: 0.00
Energy, eV per atom: -5.807
Formation energy from the elements, meV/atom: 159

No. 6
Compound: Sm5Y2Tm
Source: the Alexandria database
Functional: PBE
Structure: optimized geometry

Unit cell a=7.1993 b=14.4067 c=5.0760 alpha=90.00 beta=90.00 gamma=90.00
With the nearest neighbours (Å) after each atom.
Atoms (fractional coordinates):
Sm1 0.0000 0.0000 0.0000  4 Y 3.59, 6 Sm 3.59-3.62, 2 Tm 3.60
Sm2 0.0002 0.2511 0.0000  1 Tm 3.59, 7 Sm 3.59-3.62, 4 Y 3.59-3.61
Sm3 0.9998 0.7489 0.0000  1 Tm 3.59, 7 Sm 3.59-3.62, 4 Y 3.59-3.61
Sm4 0.2493 0.3757 0.5000  4 Y 3.58-3.63, 2 Tm 3.59, 6 Sm 3.59-3.61
Sm5 0.2507 0.8757 0.5000  4 Y 3.58-3.63, 2 Tm 3.59, 6 Sm 3.59-3.61
Sm6 0.5002 0.2489 0.0000  1 Tm 3.59, 7 Sm 3.59-3.62, 4 Y 3.59-3.61
Sm7 0.5000 0.5000 0.0000  4 Y 3.59, 6 Sm 3.59-3.62, 2 Tm 3.60
Sm8 0.4998 0.7511 0.0000  1 Tm 3.59, 7 Sm 3.59-3.62, 4 Y 3.59-3.61
Sm9 0.7493 0.1243 0.5000  4 Y 3.58-3.63, 2 Tm 3.59, 6 Sm 3.59-3.61
Sm10 0.7507 0.6243 0.5000  4 Y 3.58-3.63, 2 Tm 3.59, 6 Sm 3.59-3.61
Y1 0.2504 0.1240 0.5000  10 Sm 3.58-3.63, 2 Tm 3.59
Y2 0.2496 0.6240 0.5000  10 Sm 3.58-3.63, 2 Tm 3.59
Y3 0.7504 0.3760 0.5000  10 Sm 3.58-3.63, 2 Tm 3.59
Y4 0.7496 0.8760 0.5000  10 Sm 3.58-3.63, 2 Tm 3.59
Tm1 0.0000 0.5000 0.0000  8 Sm 3.59-3.60, 4 Y 3.59
Tm2 0.5000 0.0000 0.0000  8 Sm 3.59-3.60, 4 Y 3.59

Spin magnetization, μB per formula unit: 0.00
Energy, eV per atom: -5.107
Formation energy from the elements, meV/atom: 18

No. 7
Compound: Sm4YTm7
Source: the Alexandria database
Functional: PBE
Structure: optimized geometry

Unit cell a=6.7082 b=6.7082 c=12.6840 alpha=115.36 beta=115.36 gamma=51.58
With the nearest neighbours (Å) after each atom.
Atoms (fractional coordinates):
Sm1 0.1385 0.1385 0.2770  7 Tm 3.34-3.64, 2 Sm 3.60
Sm2 0.2699 0.2699 0.8288  4 Tm 3.26-3.51, 2 Sm 3.60
Sm3 0.7301 0.7301 0.1712  4 Tm 3.26-3.51, 2 Sm 3.60
Sm4 0.8615 0.8615 0.7230  7 Tm 3.34-3.64, 2 Sm 3.60
Y1 0.5000 0.5000 0.5000  4 Tm 2.92-3.15
Tm1 0.0000 0.0000 0.5000  2 Y 2.92, 2 Tm 3.13
Tm2 0.1328 0.1328 0.9964  4 Tm 3.25-3.56, 5 Sm 3.26-3.53
Tm3 0.2870 0.2870 0.5761  4 Tm 3.13-3.38, 1 Y 3.15, 4 Sm 3.31-3.35
Tm4 0.4342 0.4342 0.1845  4 Tm 3.27-3.56, 3 Sm 3.64-3.66
Tm5 0.5658 0.5658 0.8155  4 Tm 3.27-3.56, 3 Sm 3.64-3.66
Tm6 0.7130 0.7130 0.4239  4 Tm 3.13-3.38, 1 Y 3.15, 4 Sm 3.31-3.35
Tm7 0.8672 0.8672 0.0036  4 Tm 3.25-3.56, 5 Sm 3.26-3.53

Spin magnetization, μB per formula unit: 0.48
Energy, eV per atom: -4.438
Formation energy from the elements, meV/atom: 282

No. 8
Compound: Sm2Y8Tm
Source: the Alexandria database
Functional: PBE
Structure: optimized geometry

Unit cell a=10.0557 b=10.0557 c=5.6411 alpha=92.68 beta=92.68 gamma=40.89
With the nearest neighbours (Å) after each atom.
Atoms (fractional coordinates):
Sm1 0.2165 0.2165 0.2504  7 Y 3.20-3.56
Sm2 0.7835 0.7835 0.7496  7 Y 3.20-3.56
Y1 0.0466 0.0466 0.2335  1 Y 3.09, 1 Sm 3.20
Y2 0.1051 0.6363 0.2676  5 Y 3.29-3.68, 3 Sm 3.45-3.67, 1 Tm 3.47
Y3 0.3150 0.3150 0.7668  4 Sm 3.37-3.56, 4 Y 3.50-3.58, 1 Tm 3.66
Y4 0.3637 0.8949 0.7324  5 Y 3.29-3.68, 3 Sm 3.45-3.67, 1 Tm 3.47
Y5 0.6363 0.1051 0.2676  5 Y 3.29-3.68, 3 Sm 3.45-3.67, 1 Tm 3.47
Y6 0.6850 0.6850 0.2332  4 Sm 3.37-3.56, 4 Y 3.50-3.58, 1 Tm 3.66
Y7 0.8949 0.3637 0.7324  5 Y 3.29-3.68, 3 Sm 3.45-3.67, 1 Tm 3.47
Y8 0.9534 0.9534 0.7665  1 Y 3.09, 1 Sm 3.20
Tm1 0.5000 0.5000 0.0000  10 Y 3.47-3.84

Spin magnetization, μB per formula unit: 0.00
Energy, eV per atom: -5.798
Formation energy from the elements, meV/atom: 168